The following is a DFT calculation (GGA+U) of a relaxed AcPrMoO6 crystal.

## Properties
Its total energy is -7.682 eV/atom.

Lattice parameters (Å, degrees): 5.7627 5.7627 5.1684 90.00 90.00 120.00
Space group P312 (No. 149)
Asymmetric unit:
Ac1 0.0000 0.0000 0.0000 (multiplicity 1)
Pr1 0.3333 0.6667 0.5000 (multiplicity 1)
Mo1 0.6667 0.3333 0.5000 (multiplicity 1)
O1 0.3849 0.0527 0.7142 (multiplicity 6)

---

The following is a DFT calculation (GGA+U) of a relaxed Ac2PrMoO6 crystal.

## Properties
Its total energy is -7.880 eV/atom.

Lattice parameters (Å, degrees): 6.0260 6.2383 10.4867 90.00 124.36 90.00
Space group P2_1/c (No. 14)
Asymmetric unit:
Ac1 0.2337 0.0515 0.2500 (multiplicity 4)
Pr1 0.5000 0.0000 0.0000 (multiplicity 2)
Mo1 0.0000 0.0000 0.5000 (multiplicity 2)
O1 0.1205 0.2092 0.9354 (multiplicity 4)
O2 0.2287 0.6908 0.9381 (multiplicity 4)
O3 0.3566 0.0524 0.7374 (multiplicity 4)

---

The following is a DFT calculation (GGA+U) of a relaxed Ac2PrMoO8 crystal.

## Properties
Its total energy is -7.498 eV/atom.

Lattice parameters (Å, degrees): 4.4596 7.3961 5.6549 90.00 95.20 90.00
Space group P2/m (No. 10)
Asymmetric unit:
Ac1 0.0000 0.2429 0.0000 (multiplicity 2)
Pr1 0.5000 0.5000 0.5000 (multiplicity 1)
Mo1 0.5000 0.0000 0.5000 (multiplicity 1)
O1 0.0400 0.5000 0.2528 (multiplicity 2)
O2 0.0973 0.0000 0.3389 (multiplicity 2)
O3 0.4415 0.1991 0.7267 (multiplicity 4)